Run i
A plane-wave DFT calculation with PBE was carried out for BaReCl2 after structural relaxation.

- D(E_F) (states/eV/f.u.) = 0.8

abc: 5.2387 5.2387 6.3503
angles: 104.38 104.38 50.44
Last column: nearest neighbours and their distance in Å.
Fractional coordinates of all 4 atoms:
Ba  0.0000  0.0000  0.0000  6 Cl 3.14-3.28
Re  0.5000  0.5000  0.5000  2 Cl 3.13
Cl  0.2743  0.2743  0.7789  1 Re 3.13, 3 Ba 3.14-3.28
Cl  0.7257  0.7257  0.2211  1 Re 3.13, 3 Ba 3.14-3.28

=====

Run ii
A plane-wave DFT calculation with PBE was carried out for BaReCl2 after structural relaxation.

- D(E_F) (states/eV/f.u.) = 2.3

abc: 8.2088 8.2088 8.2088
angles: 28.15 28.15 28.15
Last column: nearest neighbours and their distance in Å.
Fractional coordinates of all 4 atoms:
Ba  0.0000  0.0000  0.0000  2 Cl 3.00
Re  0.5000  0.5000  0.5000  6 Cl 2.49
Cl  0.1268  0.1268  0.1268  3 Re 2.49
Cl  0.8732  0.8732  0.8732  3 Re 2.49

=====

Most favorable first, least favorable last: run i, run ii

=====

Run i
A plane-wave DFT calculation with PBE was carried out for LiSe after structural relaxation.

- D(E_F) (states/eV/f.u.) = 1.5

abc: 11.0961 11.0961 11.0961
angles: 15.92 15.92 15.92
Last column: nearest neighbours and their distance in Å.
Fractional coordinates of all 4 atoms:
Li  0.1223  0.1223  0.1223  3 Se 2.55
Li  0.8777  0.8777  0.8777  3 Se 2.55
Se  0.3999  0.3999  0.3999  3 Li 2.55
Se  0.6001  0.6001  0.6001  3 Li 2.55

=====

Run ii
A plane-wave DFT calculation with PBE was carried out for LiSe after structural relaxation.

- D(E_F) (states/eV/f.u.) = 1.1

abc: 4.8613 4.8613 4.8613
angles: 60.56 60.56 60.56
Last column: nearest neighbours and their distance in Å.
Fractional coordinates of all 4 atoms:
Li  0.1114  0.1114  0.1114  1 Se 2.55, 1 Li 2.64
Li  0.8886  0.8886  0.8886  1 Se 2.55, 1 Li 2.64
Se  0.3262  0.3262  0.3262  1 Li 2.55, 3 Se 2.84
Se  0.6738  0.6738  0.6738  1 Li 2.55, 3 Se 2.84

=====

Most favorable first, least favorable last: run ii, run i

=====

Run i
A plane-wave DFT calculation with PBE was carried out for RbCd3Pd after structural relaxation.

- D(E_F) (states/eV/f.u.) = 2.0

abc: 7.7416 7.7416 5.3907
angles: 90.00 90.00 117.97
Last column: nearest neighbours and their distance in Å.
Fractional coordinates of all 10 atoms:
Rb  0.0734  0.9266  0.7500  1 Pd 3.24, 2 Rb 3.33, 2 Cd 3.49
Rb  0.9266  0.0734  0.2500  1 Pd 3.24, 2 Rb 3.33, 2 Cd 3.49
Cd  0.0799  0.5748  0.2500  3 Cd 2.76-2.97, 1 Pd 2.77
Cd  0.4252  0.9201  0.2500  3 Cd 2.76-2.97, 1 Pd 2.77
Cd  0.5000  0.5000  0.0000  2 Cd 2.70, 2 Pd 2.77
Cd  0.5000  0.5000  0.5000  2 Cd 2.70, 2 Pd 2.77
Cd  0.5748  0.0799  0.7500  3 Cd 2.76-2.97, 1 Pd 2.77
Cd  0.9201  0.4252  0.7500  3 Cd 2.76-2.97, 1 Pd 2.77
Pd  0.3179  0.6821  0.7500  4 Cd 2.77
Pd  0.6821  0.3179  0.2500  4 Cd 2.77

=====

Run ii
A plane-wave DFT calculation with PBE was carried out for RbCd3Pd after structural relaxation.

- D(E_F) (states/eV/f.u.) = 1.7

abc: 5.2425 5.2425 7.7059
angles: 90.00 90.00 90.00
Last column: nearest neighbours and their distance in Å.
Fractional coordinates of all 5 atoms:
Rb  0.0000  0.0000  0.0000  6 Cd 3.65-4.06
Cd  0.0000  0.0000  0.5265  4 Cd 2.97
Cd  0.0000  0.5000  0.3442  2 Pd 2.67, 2 Cd 2.97
Cd  0.5000  0.0000  0.3442  2 Pd 2.67, 2 Cd 2.97
Pd  0.5000  0.5000  0.2787  4 Cd 2.67

=====

Most favorable first, least favorable last: run i, run ii

=====

Run i
A plane-wave DFT calculation with PBE was carried out for In2SbP after structural relaxation.

- D(E_F) (states/eV/f.u.) = 1.6

abc: 3.6208 3.6208 7.6292
angles: 90.00 90.00 90.00
Last column: nearest neighbours and their distance in Å.
Fractional coordinates of all 4 atoms:
In  0.0000  0.0000  0.0000  8 In 3.34-3.62, 4 Sb 3.45, 1 P 3.49
In  0.5000  0.5000  0.2812  1 Sb 3.17, 4 P 3.24, 4 In 3.34
Sb  0.5000  0.5000  0.6962  4 P 2.82
P  0.0000  0.0000  0.5425  4 Sb 2.82

=====

Run ii
A plane-wave DFT calculation with PBE was carried out for In2SbP after structural relaxation.

- D(E_F) (states/eV/f.u.) = 3.0

abc: 4.9549 4.9549 3.9309
angles: 90.00 90.00 90.00
Last column: nearest neighbours and their distance in Å.
Fractional coordinates of all 4 atoms:
In  0.0000  0.5000  0.0000  4 Sb 3.16, 4 P 3.16, 4 In 3.50
In  0.5000  0.0000  0.0000  4 Sb 3.16, 4 P 3.16, 4 In 3.50
Sb  0.0000  0.0000  0.5000  8 In 3.16, 4 P 3.50
P  0.5000  0.5000  0.5000  8 In 3.16, 4 Sb 3.50

=====

Most favorable first, least favorable last: run i, run ii

=====

Run i
A plane-wave DFT calculation with PBE was carried out for ZrTiCu after structural relaxation.

- D(E_F) (states/eV/f.u.) = 4.4

abc: 5.2724 5.2724 5.2724
angles: 120.12 118.90 90.86
Last column: nearest neighbours and their distance in Å.
Fractional coordinates of all 6 atoms:
Zr  0.3757  0.1257  0.2500  6 Cu 3.08-3.12, 6 Ti 3.08-3.10, 4 Zr 3.21-3.26
Zr  0.6243  0.8743  0.7500  6 Cu 3.08-3.12, 6 Ti 3.08-3.10, 4 Zr 3.21-3.26
Ti  0.0000  0.5000  0.5000  4 Cu 2.64, 2 Ti 2.68
Ti  0.5000  0.5000  0.0000  4 Cu 2.64, 2 Ti 2.68
Cu  0.0000  0.0000  0.5000  2 Cu 2.63, 4 Ti 2.64
Cu  0.0000  0.5000  0.0000  2 Cu 2.63, 4 Ti 2.64

=====

Run ii
A plane-wave DFT calculation with PBE was carried out for ZrTiCu after structural relaxation.

- D(E_F) (states/eV/f.u.) = 4.0

abc: 4.2068 4.2068 3.5685
angles: 90.00 90.00 120.00
Last column: nearest neighbours and their distance in Å.
Fractional coordinates of all 3 atoms:
Zr  0.0000  0.0000  0.0000  6 Cu 3.01, 6 Ti 3.01
Ti  0.3333  0.6667  0.5000  3 Cu 2.43
Cu  0.6667  0.3333  0.5000  3 Ti 2.43

=====

Most favorable first, least favorable last: run i, run ii

=====

Run i
A plane-wave DFT calculation with PBE was carried out for MnPSeSN after structural relaxation.

- D(E_F) (states/eV/f.u.) = 1.9

abc: 2.8200 6.0324 6.3025
angles: 109.42 102.80 90.00
Last column: nearest neighbours and their distance in Å.
Fractional coordinates of all 5 atoms:
Mn  0.0000  0.0000  0.0000  1 N 1.90
P  0.4746  0.5301  0.9487  2 N 1.74
Se  0.6165  0.3065  0.2353  2 Mn 2.38, 1 P 2.56
S  0.3611  0.9443  0.7193  2 Mn 2.16
N  0.0222  0.7043  0.0449  2 P 1.74, 1 Mn 1.90

=====

Run ii
A plane-wave DFT calculation with PBE was carried out for MnPSeSN after structural relaxation.

- D(E_F) (states/eV/f.u.) = 2.3

abc: 3.1628 6.0020 6.1008
angles: 108.49 90.04 105.19
Last column: nearest neighbours and their distance in Å.
Fractional coordinates of all 5 atoms:
Mn  0.0000  0.0000  0.0000  1 N 1.69
P  0.2715  0.5437  0.0592  1 N 1.64
Se  0.5504  0.1007  0.3008  2 Mn 2.35
S  0.3577  0.7148  0.7943  1 P 2.16, 2 Mn 2.33
N  0.1241  0.2501  0.9163  1 P 1.64, 1 Mn 1.69

=====

Most favorable first, least favorable last: run i, run ii